[1]
# NbHS (PBE-GGA, optimized geometry)
data_NbHS
_chemical_formula_sum 'Nb16 H16 S16'
_symmetry_space_group_name_H-M 'P 1'
_symmetry_Int_Tables_number 1
_symmetry_space_group_name_Hall 'P 1'
_cell_length_a 7.6084
_cell_length_b 10.2853
_cell_length_c 10.2853
_cell_angle_alpha 82.14
_cell_angle_beta 68.29
_cell_angle_gamma 68.29
loop_
_atom_site_label
_atom_site_type_symbol
_atom_site_fract_x
_atom_site_fract_y
_atom_site_fract_z
H1 H 0.5881 0.3676 0.1079
H2 H 0.7057 0.6079 0.1324
H3 H 0.4460 0.3921 0.8676
H4 H 0.0636 0.6324 0.8921
H5 H 0.1619 0.1324 0.3921
H6 H 0.0443 0.8921 0.3676
H7 H 0.3040 0.1079 0.6324
H8 H 0.6864 0.8676 0.6079
H9 H 0.1243 0.4579 0.0477
H10 H 0.3323 0.5477 0.0421
H11 H 0.9221 0.4523 0.9579
H12 H 0.6300 0.5421 0.9523
H13 H 0.6257 0.0421 0.4523
H14 H 0.4177 0.9523 0.4579
H15 H 0.8279 0.0477 0.5421
H16 H 0.1200 0.9579 0.5477
Nb1 Nb 0.8694 0.4305 0.1717
Nb2 Nb 0.0498 0.6717 0.0695
Nb3 Nb 0.7910 0.3283 0.9305
Nb4 Nb 0.4715 0.5695 0.8283
Nb5 Nb 0.8806 0.0695 0.3283
Nb6 Nb 0.7002 0.8283 0.4305
Nb7 Nb 0.9590 0.1717 0.5695
Nb8 Nb 0.2785 0.9305 0.6717
Nb9 Nb 0.4610 0.5654 0.1742
Nb10 Nb 0.7764 0.6742 0.9346
Nb11 Nb 0.3853 0.3258 0.0654
Nb12 Nb 0.2007 0.4346 0.8258
Nb13 Nb 0.2890 0.9346 0.3258
Nb14 Nb 0.9736 0.8258 0.5654
Nb15 Nb 0.3647 0.1742 0.4346
Nb16 Nb 0.5493 0.0654 0.6742
S1 S 0.8023 0.3105 0.3968
S2 S 0.8628 0.8968 0.1895
S3 S 0.9491 0.1032 0.8105
S4 S 0.5096 0.6895 0.6032
S5 S 0.9477 0.1895 0.1032
S6 S 0.8872 0.6032 0.3105
S7 S 0.8009 0.3968 0.6895
S8 S 0.2404 0.8105 0.8968
S9 S 0.3171 0.6866 0.3996
S10 S 0.7537 0.8996 0.8134
S11 S 0.4667 0.1004 0.1866
S12 S 0.4033 0.3134 0.6004
S13 S 0.4329 0.8134 0.1004
S14 S 0.9963 0.6004 0.6866
S15 S 0.2833 0.3996 0.3134
S16 S 0.3467 0.1866 0.8996
# symmetry	I4_1/a, No. 88
# raw total energy	-6.232	eV per atom
# theoretical density	4.82	g cm⁻³



[2]
# Tb6SnAs2S3 (PBE-GGA, optimized geometry)
data_Tb6SnAs2S3
_chemical_formula_sum 'Tb6 Sn1 As2 S3'
_symmetry_space_group_name_H-M 'P 1'
_symmetry_Int_Tables_number 1
_symmetry_space_group_name_Hall 'P 1'
_cell_length_a 4.0809
_cell_length_b 8.1913
_cell_length_c 9.1396
_cell_angle_alpha 102.48
_cell_angle_beta 102.90
_cell_angle_gamma 90.00
loop_
_atom_site_label
_atom_site_type_symbol
_atom_site_fract_x
_atom_site_fract_y
_atom_site_fract_z
Tb1 Tb 0.3282 0.9136 0.6563
Tb2 Tb 0.6678 0.5836 0.3356
Tb3 Tb 0.6718 0.0864 0.3437
Tb4 Tb 0.9997 0.2655 0.9995
Tb5 Tb 0.0003 0.7345 0.0005
Tb6 Tb 0.3322 0.4164 0.6644
Sn1 Sn 0.5000 0.0000 0.0000
As1 As 0.8328 0.6654 0.6655
As2 As 0.1672 0.3346 0.3345
S1 S 0.5000 0.5000 0.0000
S2 S 0.8332 0.1683 0.6665
S3 S 0.1668 0.8317 0.3335
# symmetry	C2/m, No. 12
# raw total energy	-6.077	eV per atom
# formation energy from raw total energies	-1.622	eV/atom
# theoretical density	7.54	g cm⁻³



[3]
# K2AgC2O6 (PBE-GGA, optimized geometry)
data_K2AgC2O6
_chemical_formula_sum 'K2 Ag1 C2 O6'
_symmetry_space_group_name_H-M 'P 1'
_symmetry_Int_Tables_number 1
_symmetry_space_group_name_Hall 'P 1'
_cell_length_a 5.1754
_cell_length_b 6.2390
_cell_length_c 6.5089
_cell_angle_alpha 114.22
_cell_angle_beta 90.00
_cell_angle_gamma 114.50
loop_
_atom_site_label
_atom_site_type_symbol
_atom_site_fract_x
_atom_site_fract_y
_atom_site_fract_z
K1 K 0.6933 0.3866 0.1958
K2 K 0.3067 0.6134 0.8042
Ag1 Ag 0.5000 0.0000 0.5000
C1 C 0.9955 0.9911 0.7316
C2 C 0.0045 0.0089 0.2684
O1 O 0.8714 0.7429 0.6533
O2 O 0.1472 0.8670 0.2226
O3 O 0.2802 0.1330 0.7774
O4 O 0.8528 0.1330 0.7774
O5 O 0.7198 0.8670 0.2226
O6 O 0.1286 0.2571 0.3467
# symmetry	C2/m, No. 12
# raw total energy	-6.230	eV per atom
# formation energy from raw total energies	-1.390	eV/atom
# theoretical density	2.98	g cm⁻³



[4]
# Nd2InSn (PBE-GGA, optimized geometry)
data_Nd2InSn
_chemical_formula_sum 'Nd2 In1 Sn1'
_symmetry_space_group_name_H-M 'P 1'
_symmetry_Int_Tables_number 1
_symmetry_space_group_name_Hall 'P 1'
_cell_length_a 3.9907
_cell_length_b 3.9907
_cell_length_c 9.5480
_cell_angle_alpha 77.94
_cell_angle_beta 77.94
_cell_angle_gamma 60.00
loop_
_atom_site_label
_atom_site_type_symbol
_atom_site_fract_x
_atom_site_fract_y
_atom_site_fract_z
Nd1 Nd 0.7479 0.7479 0.7562
Nd2 Nd 0.2521 0.2521 0.2438
Sn1 Sn 0.0000 0.0000 0.0000
In1 In 0.5000 0.5000 0.5000
# symmetry	R-3m, No. 166
# raw total energy	-4.477	eV per atom
# theoretical density	6.78	g cm⁻³



[5]
# MnBr8 (PBE-GGA, optimized geometry)
data_MnBr8
_chemical_formula_sum 'Mn1 Br8'
_symmetry_space_group_name_H-M 'P 1'
_symmetry_Int_Tables_number 1
_symmetry_space_group_name_Hall 'P 1'
_cell_length_a 7.5268
_cell_length_b 7.5268
_cell_length_c 7.5268
_cell_angle_alpha 108.84
_cell_angle_beta 108.84
_cell_angle_gamma 110.74
loop_
_atom_site_label
_atom_site_type_symbol
_atom_site_fract_x
_atom_site_fract_y
_atom_site_fract_z
Mn1 Mn 0.0000 0.0000 0.0000
Br1 Br 0.6651 0.3349 0.0000
Br2 Br 0.3349 0.6651 0.0000
Br3 Br 0.2736 0.0000 0.2736
Br4 Br 0.6651 0.6651 0.3302
Br5 Br 0.0000 0.2736 0.2736
Br6 Br 0.3349 0.3349 0.6698
Br7 Br 0.7264 0.0000 0.7264
Br8 Br 0.0000 0.7264 0.7264
# symmetry	I4/mmm, No. 139
# raw total energy	-2.576	eV per atom
# formation energy from raw total energies	-0.070	eV/atom
# theoretical density	3.51	g cm⁻³



[6]
# Fe2HW (PBE-GGA, optimized geometry)
data_Fe2HW
_chemical_formula_sum 'Fe2 H1 W1'
_symmetry_space_group_name_H-M 'P 1'
_symmetry_Int_Tables_number 1
_symmetry_space_group_name_Hall 'P 1'
_cell_length_a 2.6913
_cell_length_b 2.6913
_cell_length_c 6.6122
_cell_angle_alpha 78.26
_cell_angle_beta 78.26
_cell_angle_gamma 60.00
loop_
_atom_site_label
_atom_site_type_symbol
_atom_site_fract_x
_atom_site_fract_y
_atom_site_fract_z
H1 H 0.0000 0.0000 0.0000
Fe1 Fe 0.2799 0.2799 0.1603
Fe2 Fe 0.7201 0.7201 0.8397
W1 W 0.5000 0.5000 0.5000
# symmetry	R-3m, No. 166
# E above lowest polymorph	0	meV/atom
# raw total energy	-8.134	eV per atom
# theoretical density	12.21	g cm⁻³